SCAN Tl2BrCl, PBEsol geometry; uncorrected formation energy = -0.97 eV per atom; energy above the lowest structure with this stoichiometry = 7 meV/atom; DOS at the Fermi energy = 0.000 states/eV/atom; M_tot = 0.00 μB per formula unit; total DFT energy (no corrections) = -44.012 eV per atom; calculated volume = 133 Å³ per cell
1.0
-0.372 -4.428 -0.939
4.520 -0.414 0.163
-0.346 -1.303 6.284
Tl Br Cl
2 1 1
direct
0.000 0.000 0.876 Tl
0.500 0.500 0.374 Tl
0.000 0.000 0.376 Br
0.500 0.500 0.875 Cl